*a*
! LiCd4Au2 (PBE, relaxed); values from VASP
! Crystal system   trigonal
! DOS at the Fermi energy   0.5036 states/eV per atom
! SG   R-3m
&SYSTEM
  ibrav = 0, nat = 7, ntyp = 3
/
ATOMIC_SPECIES
Li 6.94 Li.upf
Cd 112.41 Cd.upf
Au 196.97 Au.upf
ATOMIC_POSITIONS angstrom
Li 0.000 0.000 0.000
Cd -1.693 8.326 1.864
Cd 2.542 4.492 1.436
Cd -1.818 5.170 1.062
Cd 2.666 7.648 2.238
Au 0.721 9.660 2.497
Au 0.128 3.158 0.803
CELL_PARAMETERS angstrom
-1.798 4.049 -1.673
-2.367 2.912 2.889
5.014 5.858 2.084


*b*
! LiCd4Au2 (PBE, relaxed); values from VASP
! Crystal system   monoclinic
! DOS at the Fermi energy   0.2358 states/eV per atom
! SG   P2_1/m
&SYSTEM
  ibrav = 0, nat = 14, ntyp = 3
/
ATOMIC_SPECIES
Li 6.94 Li.upf
Cd 112.41 Cd.upf
Au 196.97 Au.upf
ATOMIC_POSITIONS angstrom
Li 0.789 4.403 2.229
Li 3.237 1.468 4.075
Cd 3.369 2.939 1.328
Cd -2.176 4.403 6.280
Cd 6.202 1.468 0.024
Cd 3.369 5.867 1.328
Cd -1.581 1.468 3.447
Cd 0.657 0.003 4.976
Cd 0.657 2.932 4.976
Cd 5.607 4.403 2.857
Au 5.730 4.403 0.008
Au -1.704 1.468 6.296
Au 1.098 1.468 2.430
Au 2.928 4.403 3.874
CELL_PARAMETERS angstrom
7.322 0.000 -0.515
0.000 5.871 0.000
-3.296 0.000 6.820


Short version: *b* is the least stable of them.


*a*
! Li5Cd2Au2 (PBE, relaxed); values from VASP
! Crystal system   orthorhombic
! DOS at the Fermi energy   0.3732 states/eV per atom
! SG   Cmce
&SYSTEM
  ibrav = 0, nat = 18, ntyp = 3
/
ATOMIC_SPECIES
Li 6.94 Li.upf
Cd 112.41 Cd.upf
Au 196.97 Au.upf
ATOMIC_POSITIONS angstrom
Li 0.000 0.000 0.000
Li -4.865 -0.200 0.235
Li -7.179 -1.681 1.709
Li -2.360 -2.026 -0.102
Li -5.701 -2.681 -1.448
Li -3.839 -1.025 3.055
Li 0.373 -4.631 3.286
Li -4.446 -4.287 5.098
Li -1.106 -3.631 6.443
Li -2.967 -5.287 1.940
Cd 0.170 -2.938 1.010
Cd -4.696 -3.138 1.245
Cd -2.308 -4.768 -0.853
Cd -2.111 -3.174 3.750
Au -7.344 -0.645 -0.644
Au -2.387 0.245 1.114
Au -3.910 -0.953 -2.114
Au -5.820 0.553 2.584
CELL_PARAMETERS angstrom
-4.668 1.394 4.838
-5.062 -1.794 -4.368
2.924 -5.912 4.525


*b*
! Li5Cd2Au2 (PBE, relaxed); values from VASP
! Crystal system   monoclinic
! DOS at the Fermi energy   0.3829 states/eV per atom
! SG   C2/m
&SYSTEM
  ibrav = 0, nat = 9, ntyp = 3
/
ATOMIC_SPECIES
Li 6.94 Li.upf
Cd 112.41 Cd.upf
Au 196.97 Au.upf
ATOMIC_POSITIONS angstrom
Li -2.430 -2.733 2.573
Li 1.963 2.822 4.584
Li -0.751 1.569 4.645
Li 0.283 -1.480 2.512
Li 0.000 0.000 0.000
Cd -1.438 -1.223 4.807
Cd 0.971 1.312 2.350
Au -1.780 0.134 2.197
Au 1.313 -0.045 4.960
CELL_PARAMETERS angstrom
-4.214 1.103 1.125
-0.915 -5.199 1.670
4.662 4.185 4.362


Short version: *a* is the least stable of them.


*a*
! LiCd4Au4 (PBE, relaxed); values from VASP
! Crystal system   tetragonal
! DOS at the Fermi energy   0.3678 states/eV per atom
! SG   I-42m
&SYSTEM
  ibrav = 0, nat = 9, ntyp = 3
/
ATOMIC_SPECIES
Li 6.94 Li.upf
Cd 112.41 Cd.upf
Au 196.97 Au.upf
ATOMIC_POSITIONS angstrom
Li 0.000 0.000 0.000
Cd -1.074 4.838 4.401
Cd 1.074 4.838 6.549
Cd 1.663 1.132 3.812
Cd 3.812 1.132 1.663
Au 1.106 1.982 1.106
Au 4.369 1.982 4.369
Au -1.631 3.988 7.106
Au 1.631 3.988 3.844
CELL_PARAMETERS angstrom
5.475 0.000 0.000
-2.738 5.970 2.738
0.000 0.000 5.475


*b*
! LiCd4Au4 (PBE, relaxed); values from VASP
! Crystal system   tetragonal
! DOS at the Fermi energy   0.2367 states/eV per atom
! SG   I4/mmm
&SYSTEM
  ibrav = 0, nat = 9, ntyp = 3
/
ATOMIC_SPECIES
Li 6.94 Li.upf
Cd 112.41 Cd.upf
Au 196.97 Au.upf
ATOMIC_POSITIONS angstrom
Li 0.000 0.000 0.000
Cd 0.600 -5.882 7.989
Cd 1.691 -2.232 1.047
Cd -2.157 -3.765 4.153
Cd 4.448 -4.350 4.883
Au 0.605 -4.119 3.064
Au 1.686 -3.996 5.972
Au 2.388 -6.356 4.154
Au -0.096 -1.758 4.882
CELL_PARAMETERS angstrom
-0.412 -4.234 0.331
5.519 -2.465 2.824
-2.817 -1.415 5.881


Short version: *a* is the least stable of them.


*a*
! Li2Cd3Au4 (PBE, relaxed); values from VASP
! Crystal system   triclinic
! DOS at the Fermi energy   0.2052 states/eV per atom
! SG   P-1
&SYSTEM
  ibrav = 0, nat = 9, ntyp = 3
/
ATOMIC_SPECIES
Li 6.94 Li.upf
Cd 112.41 Cd.upf
Au 196.97 Au.upf
ATOMIC_POSITIONS angstrom
Li 4.586 1.384 1.773
Li 4.259 5.499 4.783
Cd 4.149 2.572 4.455
Cd 0.000 0.000 0.000
Cd 4.696 4.311 2.100
Au 3.806 3.885 7.103
Au 6.716 4.142 4.137
Au 2.129 2.741 2.418
Au 5.039 2.997 -0.547
CELL_PARAMETERS angstrom
5.048 0.088 -0.845
2.547 4.438 -0.008
1.250 2.356 7.409


*b*
! Li2Cd3Au4 (PBE, relaxed); values from VASP
! Crystal system   triclinic
! DOS at the Fermi energy   0.2470 states/eV per atom
! SG   P-1
&SYSTEM
  ibrav = 0, nat = 9, ntyp = 3
/
ATOMIC_SPECIES
Li 6.94 Li.upf
Cd 112.41 Cd.upf
Au 196.97 Au.upf
ATOMIC_POSITIONS angstrom
Li 2.004 2.509 7.404
Li 3.985 3.278 2.494
Cd 1.996 2.019 4.221
Cd 0.000 0.000 0.000
Cd 3.993 3.767 5.677
Au 4.002 4.101 8.593
Au 1.992 4.864 3.767
Au 3.998 0.922 6.131
Au 1.988 1.685 1.305
CELL_PARAMETERS angstrom
3.985 0.005 0.004
1.996 4.633 0.861
0.008 1.149 9.032


Short version: *a* is the least stable of them.


*a*
! Li3CdAu2 (PBE, relaxed); values from VASP
! Crystal system   tetragonal
! DOS at the Fermi energy   0.2983 states/eV per atom
! SG   P4/mmm
&SYSTEM
  ibrav = 0, nat = 6, ntyp = 3
/
ATOMIC_SPECIES
Li 6.94 Li.upf
Cd 112.41 Cd.upf
Au 196.97 Au.upf
ATOMIC_POSITIONS angstrom
Li 0.000 0.000 0.000
Li 0.000 0.000 6.666
Li 0.000 0.000 2.984
Cd 1.587 1.587 4.825
Au 1.587 1.587 8.114
Au 1.587 1.587 1.536
CELL_PARAMETERS angstrom
3.175 0.000 0.000
0.000 3.175 0.000
0.000 0.000 9.650


*b*
! Li3CdAu2 (PBE, relaxed); values from VASP
! Crystal system   orthorhombic
! DOS at the Fermi energy   0.2359 states/eV per atom
! SG   Cmmm
&SYSTEM
  ibrav = 0, nat = 6, ntyp = 3
/
ATOMIC_SPECIES
Li 6.94 Li.upf
Cd 112.41 Cd.upf
Au 196.97 Au.upf
ATOMIC_POSITIONS angstrom
Li 1.722 2.072 -0.686
Li 1.722 3.391 3.296
Li 1.722 0.721 2.179
Cd 0.000 0.000 0.000
Au 0.000 1.373 4.148
Au 0.000 2.739 1.327
CELL_PARAMETERS angstrom
3.443 0.000 0.000
0.000 4.145 -1.372
0.000 -0.033 6.847


Short version: *a* is the least stable of them.


*a*
! LiPuCdAu (PBE, relaxed); values from VASP
! Crystal system   tetragonal
! DOS at the Fermi energy   1.8426 states/eV per atom
! SG   P4mm
&SYSTEM
  ibrav = 0, nat = 4, ntyp = 4
/
ATOMIC_SPECIES
Li 6.94 Li.upf
Pu 244.00 Pu.upf
Cd 112.41 Cd.upf
Au 196.97 Au.upf
ATOMIC_POSITIONS angstrom
Li -0.007 -3.139 1.603
Pu 2.285 -5.486 2.896
Cd 0.592 -0.607 0.334
Au 2.630 -2.693 1.484
CELL_PARAMETERS angstrom
-1.829 -0.316 2.668
-1.660 -2.405 -1.422
5.037 -5.157 2.841


*b*
! LiPuCdAu (PBE, relaxed); values from VASP
! Crystal system   cubic
! DOS at the Fermi energy   2.8345 states/eV per atom
! SG   F-43m
&SYSTEM
  ibrav = 0, nat = 4, ntyp = 4
/
ATOMIC_SPECIES
Cd 112.41 Cd.upf
Au 196.97 Au.upf
Li 6.94 Li.upf
Pu 244.00 Pu.upf
ATOMIC_POSITIONS angstrom
Cd -5.330 2.420 -6.987
Au 0.000 0.000 0.000
Li -3.553 1.613 -4.658
Pu -1.777 0.807 -2.329
CELL_PARAMETERS angstrom
-0.067 1.247 -4.802
-3.796 -1.397 -2.873
-3.243 3.377 -1.641


Short version: *b* is the least stable of them.


*a*
! MgCdAu4 (PBE, relaxed); values from VASP
! Crystal system   tetragonal
! DOS at the Fermi energy   0.2126 states/eV per atom
! SG   P4/mmm
&SYSTEM
  ibrav = 0, nat = 6, ntyp = 3
/
ATOMIC_SPECIES
Mg 24.30 Mg.upf
Cd 112.41 Cd.upf
Au 196.97 Au.upf
ATOMIC_POSITIONS angstrom
Mg 2.003 2.004 8.227
Cd 0.022 3.963 4.093
Au 1.991 3.949 1.940
Au 2.002 3.973 6.235
Au 0.023 1.999 6.249
Au 0.013 1.976 1.956
CELL_PARAMETERS angstrom
3.950 -0.006 -0.010
0.006 3.954 -0.020
0.020 0.042 8.256


*b*
! MgCdAu4 (PBE, relaxed); values from VASP
! Crystal system   cubic
! DOS at the Fermi energy   0.7542 states/eV per atom
! SG   F-43m
&SYSTEM
  ibrav = 0, nat = 6, ntyp = 3
/
ATOMIC_SPECIES
Mg 24.30 Mg.upf
Cd 112.41 Cd.upf
Au 196.97 Au.upf
ATOMIC_POSITIONS angstrom
Mg 0.000 0.000 0.000
Cd 5.884 5.884 5.884
Au 4.904 2.941 4.904
Au 2.941 4.904 4.904
Au 4.904 4.904 2.941
Au 2.941 2.941 2.941
CELL_PARAMETERS angstrom
0.000 3.923 3.923
3.923 0.000 3.923
3.923 3.923 0.000


*c*
! MgCdAu4 (PBE, relaxed); values from VASP
! Crystal system   monoclinic
! DOS at the Fermi energy   0.3444 states/eV per atom
! SG   C2/m
&SYSTEM
  ibrav = 0, nat = 6, ntyp = 3
/
ATOMIC_SPECIES
Mg 24.30 Mg.upf
Cd 112.41 Cd.upf
Au 196.97 Au.upf
ATOMIC_POSITIONS angstrom
Mg 2.521 1.707 3.952
Cd 0.000 0.000 0.000
Au 3.600 1.230 6.553
Au 1.049 -0.381 2.706
Au 1.441 2.184 1.350
Au 3.992 3.795 5.198
CELL_PARAMETERS angstrom
3.381 0.000 0.978
1.860 4.784 -0.098
-0.200 -1.370 7.024


Short version: *b* is the least stable of them.


*a*
! MgCd3Au3 (PBE, relaxed); values from VASP
! Crystal system   monoclinic
! DOS at the Fermi energy   0.2801 states/eV per atom
! SG   C2/m
&SYSTEM
  ibrav = 0, nat = 14, ntyp = 3
/
ATOMIC_SPECIES
Mg 24.30 Mg.upf
Cd 112.41 Cd.upf
Au 196.97 Au.upf
ATOMIC_POSITIONS angstrom
Mg 2.022 3.265 6.764
Mg 0.923 1.490 0.063
Cd 2.049 3.308 2.430
Cd -2.027 4.544 3.413
Cd 4.971 0.210 3.413
Cd -1.004 4.632 -0.109
Cd 4.595 1.165 -0.109
Cd 0.896 1.446 4.396
Au -0.100 -0.161 2.062
Au 3.685 2.141 4.944
Au 0.275 4.253 4.944
Au -0.741 2.613 1.883
Au 2.670 0.501 1.883
Au 3.045 4.916 4.764
CELL_PARAMETERS angstrom
7.367 -0.552 -0.109
-3.776 6.349 -0.109
-0.646 -1.043 7.044


*b*
! MgCd3Au3 (PBE, relaxed); values from VASP
! Crystal system   cubic
! DOS at the Fermi energy   0.4035 states/eV per atom
! SG   P2_13
&SYSTEM
  ibrav = 0, nat = 28, ntyp = 3
/
ATOMIC_SPECIES
Mg 24.30 Mg.upf
Cd 112.41 Cd.upf
Au 196.97 Au.upf
ATOMIC_POSITIONS angstrom
Mg 1.029 5.184 7.282
Mg 7.282 1.029 5.184
Mg 3.127 3.127 3.127
Mg 5.184 7.282 1.029
Cd 6.647 2.492 1.664
Cd 7.803 7.803 7.803
Cd 7.070 5.396 2.914
Cd 1.664 6.647 2.492
Cd 1.241 1.241 1.241
Cd 2.914 7.070 5.396
Cd 0.508 3.647 4.663
Cd 2.492 1.664 6.647
Cd 5.396 2.914 7.070
Cd 5.819 5.819 5.819
Cd 4.663 0.508 3.647
Cd 3.647 4.663 0.508
Au 6.729 5.095 0.116
Au 7.371 8.194 2.574
Au 0.116 6.729 5.095
Au 0.940 4.039 1.582
Au 1.582 0.940 4.039
Au 2.574 7.371 8.194
Au 8.194 2.574 7.371
Au 3.216 4.272 5.737
Au 4.039 1.582 0.940
Au 5.095 0.116 6.729
Au 5.737 3.216 4.272
Au 4.272 5.737 3.216
CELL_PARAMETERS angstrom
8.311 0.000 0.000
0.000 8.311 0.000
0.000 0.000 8.311


Short version: *a* is the least stable of them.


*a*
! Mg2CdAu (PBE, relaxed); values from VASP
! Crystal system   tetragonal
! DOS at the Fermi energy   0.4220 states/eV per atom
! SG   P4mm
&SYSTEM
  ibrav = 0, nat = 4, ntyp = 3
/
ATOMIC_SPECIES
Mg 24.30 Mg.upf
Au 196.97 Au.upf
Cd 112.41 Cd.upf
ATOMIC_POSITIONS angstrom
Mg 2.742 3.024 4.271
Mg 0.200 -1.033 2.896
Au 1.309 1.443 2.039
Cd 1.527 0.430 4.962
CELL_PARAMETERS angstrom
-2.798 -0.682 2.279
1.659 -3.081 1.116
2.767 3.051 4.309


*b*
! Mg2CdAu (PBE, relaxed); values from VASP
! Crystal system   tetragonal
! DOS at the Fermi energy   0.2853 states/eV per atom
! SG   I-4m2
&SYSTEM
  ibrav = 0, nat = 4, ntyp = 3
/
ATOMIC_SPECIES
Mg 24.30 Mg.upf
Au 196.97 Au.upf
Cd 112.41 Cd.upf
ATOMIC_POSITIONS angstrom
Mg 0.000 0.000 0.000
Mg 1.308 1.242 2.403
Au -0.986 0.277 4.085
Cd -1.539 1.970 1.666
CELL_PARAMETERS angstrom
-3.834 1.005 3.349
1.862 -0.451 4.822
1.741 2.658 -4.102


*c*
! Mg2CdAu (PBE, relaxed); values from VASP
! Crystal system   monoclinic
! DOS at the Fermi energy   0.2470 states/eV per atom
! SG   Cm
&SYSTEM
  ibrav = 0, nat = 4, ntyp = 3
/
ATOMIC_SPECIES
Mg 24.30 Mg.upf
Au 196.97 Au.upf
Cd 112.41 Cd.upf
ATOMIC_POSITIONS angstrom
Mg -4.011 -0.865 2.238
Mg -2.944 0.361 -0.759
Au -5.622 0.923 -2.016
Cd -8.767 1.331 -2.881
CELL_PARAMETERS angstrom
-3.688 2.932 -2.409
-3.737 -0.270 -3.736
-4.083 -0.897 2.319


*d*
! Mg2CdAu (PBE, relaxed); values from VASP
! Crystal system   tetragonal
! DOS at the Fermi energy   0.3393 states/eV per atom
! SG   I-42d
&SYSTEM
  ibrav = 0, nat = 8, ntyp = 3
/
ATOMIC_SPECIES
Mg 24.30 Mg.upf
Au 196.97 Au.upf
Cd 112.41 Cd.upf
ATOMIC_POSITIONS angstrom
Mg -4.650 -4.343 -0.878
Mg 0.988 -5.945 -0.970
Mg -2.934 -7.820 -0.256
Mg -4.489 -13.192 -2.014
Au 0.000 0.000 0.000
Au -5.360 -6.921 -0.935
Cd -1.780 -4.925 -1.637
Cd -0.183 -8.729 -1.124
CELL_PARAMETERS angstrom
-6.957 -3.116 -1.448
3.396 -6.733 -1.825
-1.982 -5.800 1.215


Short version: *d* is the least stable of them.


*a*
! Mg2CdAu (PBE, relaxed); values from VASP
! Crystal system   orthorhombic
! DOS at the Fermi energy   0.2734 states/eV per atom
! SG   Imm2
&SYSTEM
  ibrav = 0, nat = 4, ntyp = 3
/
ATOMIC_SPECIES
Mg 24.30 Mg.upf
Au 196.97 Au.upf
Cd 112.41 Cd.upf
ATOMIC_POSITIONS angstrom
Mg 0.019 0.012 0.000
Mg 2.872 -0.420 1.438
Au 4.229 2.612 0.000
Cd 1.687 2.278 1.364
CELL_PARAMETERS angstrom
5.723 0.105 0.074
2.656 5.070 -0.074
-3.761 -3.281 2.803


*b*
! Mg2CdAu (PBE, relaxed); values from VASP
! Crystal system   cubic
! DOS at the Fermi energy   0.4651 states/eV per atom
! SG   F-43m
&SYSTEM
  ibrav = 0, nat = 4, ntyp = 3
/
ATOMIC_SPECIES
Au 196.97 Au.upf
Cd 112.41 Cd.upf
Mg 24.30 Mg.upf
ATOMIC_POSITIONS angstrom
Au -4.061 -3.369 2.519
Cd -6.091 -5.053 3.779
Mg 0.000 0.000 0.000
Mg -2.030 -1.684 1.260
CELL_PARAMETERS angstrom
-2.535 -0.734 3.978
-4.504 -1.555 -0.293
-1.083 -4.448 1.353


*c*
! Mg2CdAu (PBE, relaxed); values from VASP
! Crystal system   trigonal
! DOS at the Fermi energy   0.7163 states/eV per atom
! SG   R-3m
&SYSTEM
  ibrav = 0, nat = 4, ntyp = 3
/
ATOMIC_SPECIES
Au 196.97 Au.upf
Cd 112.41 Cd.upf
Mg 24.30 Mg.upf
ATOMIC_POSITIONS angstrom
Au -5.800 -1.445 3.118
Cd -17.401 -4.336 9.355
Mg -23.025 -5.738 12.379
Mg -11.776 -2.934 6.331
CELL_PARAMETERS angstrom
-8.359 -2.806 2.587
-6.777 -2.909 5.482
-8.065 -0.067 4.405


*d*
! Mg2CdAu (PBE, relaxed); values from VASP
! Crystal system   monoclinic
! DOS at the Fermi energy   0.2865 states/eV per atom
! SG   P2/m
&SYSTEM
  ibrav = 0, nat = 4, ntyp = 3
/
ATOMIC_SPECIES
Mg 24.30 Mg.upf
Au 196.97 Au.upf
Cd 112.41 Cd.upf
ATOMIC_POSITIONS angstrom
Mg 0.000 3.337 0.157
Mg 0.000 3.353 3.212
Au 1.766 1.679 1.678
Cd 1.766 5.038 5.033
CELL_PARAMETERS angstrom
3.532 0.000 0.000
0.000 3.332 0.013
0.000 3.384 6.697


Short version: *c* is the least stable of them.